(1)
TiGaIO2 | PBE | relaxed

## Properties
energy relative to the elements, uncorrected: -0.35 eV per atom
symmetry: P4/mmm (123)

a = 3.8980 Å, b = 3.8980 Å, c = 5.7209 Å
α = 90.00°, β = 90.00°, γ = 90.00°
Fractional coordinates of all 5 atoms:
Ti 0.0000 0.0000 0.0000
Ga 0.5000 0.5000 0.5000
I 0.5000 0.5000 0.0000
O 0.0000 0.5000 0.5000
O 0.5000 0.0000 0.5000



(2)
Th2Cu2Ag | PBE | relaxed

## Properties
formation energy from the elements: -0.7 eV/f.u.
symmetry: Cmmm (65)

a = 7.3681 Å, b = 7.3681 Å, c = 3.6281 Å
α = 90.00°, β = 90.00°, γ = 145.64°
Fractional coordinates of all 5 atoms:
Th 0.1302 0.8698 0.0000
Th 0.8698 0.1302 0.0000
Cu 0.3000 0.7000 0.5000
Cu 0.7000 0.3000 0.5000
Ag 0.5000 0.5000 0.5000



(3)
NaPRhO4 | PBE | relaxed

## Properties
energy relative to the elements, uncorrected: -1.56 eV per atom
symmetry: Cmcm (63)

a = 5.0794 Å, b = 5.0794 Å, c = 6.9807 Å
α = 90.00°, β = 90.00°, γ = 114.99°
Fractional coordinates of all 14 atoms:
Na 0.1862 0.8138 0.7500
Na 0.8138 0.1862 0.2500
P 0.1636 0.8364 0.2500
P 0.8364 0.1636 0.7500
Rh 0.5000 0.5000 0.0000
Rh 0.5000 0.5000 0.5000
O 0.1789 0.2891 0.7500
O 0.2635 0.7365 0.0668
O 0.2635 0.7365 0.4332
O 0.2891 0.1789 0.2500
O 0.7109 0.8211 0.7500
O 0.7365 0.2635 0.5668
O 0.7365 0.2635 0.9332
O 0.8211 0.7109 0.2500



(4)
ZrCrNi2 | PBE | relaxed

## Properties
formation energy from the elements: 1.6 eV/f.u.
symmetry: I-42d (122)

a = 8.9849 Å, b = 8.9849 Å, c = 8.9849 Å
α = 155.53°, β = 155.53°, γ = 34.88°
Fractional coordinates of all 8 atoms:
Zr 0.0000 0.0000 0.0000
Zr 0.7500 0.2500 0.5000
Cr 0.2500 0.7500 0.5000
Cr 0.5000 0.5000 0.0000
Ni 0.1694 0.6250 0.0444
Ni 0.3750 0.4194 0.5444
Ni 0.5806 0.1250 0.9556
Ni 0.8750 0.8306 0.4556



(5)
PrSm2C | PBE | relaxed

## Properties
formation energy from the elements: -0.1 eV/f.u.
symmetry: R-3m (166)

a = 10.2996 Å, b = 10.2996 Å, c = 10.2996 Å
α = 20.21°, β = 20.21°, γ = 20.21°
Fractional coordinates of all 4 atoms:
Pr 0.0000 0.0000 0.0000
Sm 0.1206 0.1206 0.1206
Sm 0.8794 0.8794 0.8794
C 0.5000 0.5000 0.5000



(6)
Mg3MnB | PBE | relaxed

## Properties
formation energy from the elements: 7.5 eV/f.u.
symmetry: Pm-3m (221)

a = 5.0168 Å, b = 5.0168 Å, c = 5.0168 Å
α = 90.00°, β = 90.00°, γ = 90.00°
Fractional coordinates of all 5 atoms:
Mg 0.0000 0.0000 0.5000
Mg 0.0000 0.5000 0.0000
Mg 0.5000 0.0000 0.0000
Mn 0.0000 0.0000 0.0000
B 0.5000 0.5000 0.5000



(7)
PPb3F | PBE | relaxed

## Properties
energy relative to the elements, uncorrected: -0.19 eV per atom
symmetry: Pm-3m (221)

a = 5.0998 Å, b = 5.0998 Å, c = 5.0998 Å
α = 90.00°, β = 90.00°, γ = 90.00°
Fractional coordinates of all 5 atoms:
P 0.0000 0.0000 0.0000
Pb 0.0000 0.5000 0.5000
Pb 0.5000 0.0000 0.5000
Pb 0.5000 0.5000 0.0000
F 0.5000 0.5000 0.5000



(8)
NaGaSe2 | PBE | relaxed

## Properties
energy relative to the elements, uncorrected: -0.81 eV per atom
symmetry: C2 (5)

a = 6.9482 Å, b = 6.9482 Å, c = 3.9541 Å
α = 90.05°, β = 90.05°, γ = 147.88°
Fractional coordinates of all 4 atoms:
Na 0.0000 0.0000 0.0000
Ga 0.2257 0.7743 0.5000
Se 0.3328 0.6672 0.0000
Se 0.6080 0.3920 0.5000



(9)
Na3Ac2Hg4 | PBE | relaxed

## Properties
formation energy from the elements: -2.7 eV/f.u.
symmetry: C2/m (12)

a = 5.4073 Å, b = 5.4073 Å, c = 10.6301 Å
α = 90.41°, β = 90.41°, γ = 59.85°
Fractional coordinates of all 9 atoms:
Na 0.0000 0.0000 0.0000
Na 0.3360 0.3360 0.4256
Na 0.6640 0.6640 0.5744
Ac 0.3315 0.3315 0.7868
Ac 0.6685 0.6685 0.2132
Hg 0.0033 0.0033 0.3541
Hg 0.3346 0.3346 0.0987
Hg 0.6654 0.6654 0.9013
Hg 0.9967 0.9967 0.6459



(10)
Hf2ScNb2 | PBE | relaxed

## Properties
formation energy from the elements: 0.9 eV/f.u.
symmetry: P4/mbm (127)

a = 7.6847 Å, b = 7.6847 Å, c = 3.6353 Å
α = 90.00°, β = 90.00°, γ = 90.00°
Fractional coordinates of all 10 atoms:
Hf 0.1637 0.3363 0.0000
Hf 0.3363 0.8363 0.0000
Hf 0.6637 0.1637 0.0000
Hf 0.8363 0.6637 0.0000
Sc 0.0000 0.0000 0.5000
Sc 0.5000 0.5000 0.5000
Nb 0.1310 0.6310 0.5000
Nb 0.3690 0.1310 0.5000
Nb 0.6310 0.8690 0.5000
Nb 0.8690 0.3690 0.5000



(11)
NaLaZr2Hg | PBE | relaxed

## Properties
formation energy from the elements: 5.9 eV/f.u.
symmetry: P4/mmm (123)

a = 5.1448 Å, b = 5.1448 Å, c = 5.4484 Å
α = 90.00°, β = 90.00°, γ = 90.00°
Fractional coordinates of all 5 atoms:
Na 0.0000 0.0000 0.0000
La 0.0000 0.0000 0.5000
Zr 0.0000 0.5000 0.0000
Zr 0.5000 0.0000 0.0000
Hg 0.5000 0.5000 0.5000



(12)
LiCaSb2I | PBE | relaxed

## Properties
energy relative to the elements, uncorrected: -0.26 eV per atom
symmetry: P4/mmm (123)

a = 4.9567 Å, b = 4.9567 Å, c = 6.1264 Å
α = 90.00°, β = 90.00°, γ = 90.00°
Fractional coordinates of all 5 atoms:
Li 0.0000 0.0000 0.0000
Ca 0.5000 0.5000 0.5000
Sb 0.0000 0.5000 0.0000
Sb 0.5000 0.0000 0.0000
I 0.0000 0.0000 0.5000



(13)
Ca3Si8Ir3 | PBE | relaxed

## Properties
energy relative to the elements, uncorrected: -0.49 eV per atom
symmetry: Immm (71)

a = 7.8366 Å, b = 7.8366 Å, c = 7.8366 Å
α = 149.13°, β = 104.61°, γ = 83.65°
Fractional coordinates of all 14 atoms:
Ca 0.0000 0.0000 0.0000
Ca 0.3164 0.3164 0.0000
Ca 0.6836 0.6836 0.0000
Si 0.0407 0.6698 0.3709
Si 0.1620 0.8749 0.2871
Si 0.2989 0.6698 0.6291
Si 0.4122 0.1251 0.2871
Si 0.5878 0.8749 0.7129
Si 0.7011 0.3302 0.3709
Si 0.8380 0.1251 0.7129
Si 0.9593 0.3302 0.6291
Ir 0.2712 0.5000 0.7712
Ir 0.5000 0.0000 0.5000
Ir 0.7288 0.5000 0.2288



(14)
Bi2PPt | PBE | relaxed

## Properties
formation energy from the elements: 0.5 eV/f.u.
symmetry: I-42d (122)

a = 7.6050 Å, b = 7.6050 Å, c = 7.6050 Å
α = 130.39°, β = 130.39°, γ = 72.79°
Fractional coordinates of all 8 atoms:
Bi 0.1155 0.6250 0.9905
Bi 0.3750 0.3655 0.4905
Bi 0.6345 0.1250 0.0095
Bi 0.8750 0.8845 0.5095
P 0.2500 0.7500 0.5000
P 0.5000 0.5000 0.0000
Pt 0.0000 0.0000 0.0000
Pt 0.7500 0.2500 0.5000



(15)
NbTl2PW | PBE | relaxed

## Properties
formation energy from the elements: 7.1 eV/f.u.
symmetry: P4/mmm (123)

a = 5.3930 Å, b = 5.3930 Å, c = 4.8032 Å
α = 90.00°, β = 90.00°, γ = 90.00°
Fractional coordinates of all 5 atoms:
Nb 0.0000 0.0000 0.0000
Tl 0.0000 0.5000 0.5000
Tl 0.5000 0.0000 0.5000
P 0.5000 0.5000 0.0000
W 0.0000 0.0000 0.5000



(16)
Gd2MgGe | PBE | relaxed

## Properties
formation energy from the elements: -1.5 eV/f.u.
symmetry: Fm-3m (225)

a = 5.1883 Å, b = 5.1883 Å, c = 5.1883 Å
α = 60.00°, β = 60.00°, γ = 60.00°
Fractional coordinates of all 4 atoms:
Gd 0.2500 0.2500 0.2500
Gd 0.7500 0.7500 0.7500
Mg 0.0000 0.0000 0.0000
Ge 0.5000 0.5000 0.5000